[1]
Entry from the Alexandria database: a PBEsol-optimized structure of Fe2HgIr (meta-GGA SCAN).

The value obtained for the energy is -1.6074 Ha/atom.

The space group is Cmmm (No. 65) and the conventional cell measures 5.4362, 7.4726 and 2.7732 Å, with angles of 90.00, 90.00 and 90.00 degrees. Symmetry generates all atoms from Fe at (0.2500, 0.2500, 0.0000), Hg at (0.0000, 0.0000, 0.5000) and Ir at (0.0000, 0.5000, 0.5000).



[2]
Entry from the Alexandria database: a PBEsol-optimized structure of TaZn2Ag (meta-GGA SCAN).

The value obtained for the offset from the most stable computed form is 296 meV per atom.

The space group is Immm (No. 71) and the conventional cell measures 2.7260, 4.9718 and 9.3935 Å, with angles of 90.00, 90.00 and 90.00 degrees. Symmetry generates all atoms from Ta at (0.0000, 0.0000, 0.0000), Zn at (0.0000, 0.5000, 0.2428) and Ag at (0.0000, 0.0000, 0.5000).



[3]
Entry from the Alexandria database: a PBEsol-optimized structure of Cs2MgI (meta-GGA SCAN).

The uncorrected formation energy is -0.4926 eV per atom.

The space group is Fm-3m (No. 225) and the conventional cell measures 9.3217, 9.3217 and 9.3217 Å, with angles of 90.00, 90.00 and 90.00 degrees. Symmetry generates all atoms from Cs at (0.2500, 0.2500, 0.2500), Mg at (0.0000, 0.0000, 0.0000) and I at (0.0000, 0.0000, 0.5000).



[4]
Entry from the Alexandria database: a PBEsol-optimized structure of YCd2Re (meta-GGA SCAN).

The value obtained for the offset from the most stable computed form is 0 meV per atom.

The space group is P4/mmm (No. 123) and the conventional cell measures 3.6418, 3.6418 and 5.9881 Å, with angles of 90.00, 90.00 and 90.00 degrees. Symmetry generates all atoms from Y at (0.0000, 0.0000, 0.0000), Cd at (0.5000, 0.5000, 0.2755) and Re at (0.0000, 0.0000, 0.5000).



[5]
Entry from the Alexandria database: a PBEsol-optimized structure of CaCuNO2 (meta-GGA SCAN).

The uncorrected formation energy is 0.5712 eV per atom.

The space group is P4/mmm (No. 123) and the conventional cell measures 4.2579, 4.2579 and 4.4840 Å, with angles of 90.00, 90.00 and 90.00 degrees. Symmetry generates all atoms from Ca at (0.0000, 0.0000, 0.0000), Cu at (0.5000, 0.5000, 0.5000), N at (0.0000, 0.0000, 0.5000) and O at (0.0000, 0.5000, 0.0000).



[6]
Entry from the Alexandria database: a PBEsol-optimized structure of SeBr3O (meta-GGA SCAN).

The uncorrected formation energy is 0.6468 eV per atom. The value obtained for the offset from the most stable computed form is 0 meV per atom.

The space group is Pm-3m (No. 221) and the conventional cell measures 5.1974, 5.1974 and 5.1974 Å, with angles of 90.00, 90.00 and 90.00 degrees. Symmetry generates all atoms from Se at (0.0000, 0.0000, 0.0000), Br at (0.0000, 0.0000, 0.5000) and O at (0.5000, 0.5000, 0.5000).



[7]
Entry from the Alexandria database: a PBEsol-optimized structure of TlCrP2 (meta-GGA SCAN).

The value obtained for the energy is -1.0208 Ha/atom.

The space group is I-42d (No. 122) and the conventional cell measures 5.6980, 5.6980 and 11.0463 Å, with angles of 90.00, 90.00 and 90.00 degrees. Symmetry generates all atoms from Tl at (0.0000, 0.0000, 0.0000), Cr at (0.0000, 0.0000, 0.5000) and P at (0.1644, 0.2500, 0.6250).



[8]
Entry from the Alexandria database: a PBEsol-optimized structure of MgBrCl (meta-GGA SCAN).

The uncorrected formation energy is -1.8690 eV per atom. The value obtained for the offset from the most stable computed form is 0 meV per atom.

The space group is P3m1 (No. 156) and the conventional cell measures 3.7234, 3.7234 and 6.3745 Å, with angles of 90.00, 90.00 and 120.00 degrees. Symmetry generates all atoms from Mg at (0.0000, 0.0000, 0.0000), Br at (0.3333, 0.6667, 0.7576) and Cl at (0.6667, 0.3333, 0.2083).



| no. | mass density (g cm⁻³) |
| --- | --- |
| 1 | 14.87 |
| 2 | 10.95 |
| 3 | 3.42 |
| 4 | 10.45 |
| 5 | 3.06 |
| 6 | 3.96 |
| 7 | 5.90 |
| 8 | 3.03 |